# 1
CdGaCuHg2 | PBE-GGA | optimized geometry

Computed properties:
Formation energy from the elements in eV/atom: 0.17
DOS(E_F) in states/eV per cell: 1.995
Calculated total energy in eV per atom: -1.556
Crystal system: tetragonal

Cell lengths 5.170, 5.170, 4.710 Å; angles 90.00, 90.00, 90.00 degrees
Element x y z (fractional)
Cu  0.000  0.000  0.000
Hg  0.000  0.500  0.000
Hg  0.500  0.000  0.000
Ga  0.000  0.000  0.500
Cd  0.500  0.500  0.500



# 2
ScNbTc | PBE-GGA | optimized geometry

Computed properties:
Formation energy from the elements in eV/atom: -0.14
DOS(E_F) in states/eV per cell: 5.656
Calculated total energy in eV per atom: -9.059
Crystal system: trigonal

Cell lengths 4.594, 4.594, 5.789 Å; angles 90.00, 90.00, 120.00 degrees
Element x y z (fractional)
Sc  0.333  0.667  0.673
Sc  0.000  0.000  0.878
Nb  0.333  0.667  0.182
Nb  0.667  0.333  0.498
Tc  0.667  0.333  0.021
Tc  0.000  0.000  0.361



# 3
HfSn3W | PBE-GGA | optimized geometry

Computed properties:
Formation energy from the elements in eV/atom: 0.96
DOS(E_F) in states/eV per cell: 4.594
Calculated total energy in eV per atom: -6.025
Crystal system: cubic

Cell lengths 5.215, 5.215, 5.215 Å; angles 90.00, 90.00, 90.00 degrees
Element x y z (fractional)
Hf  0.500  0.500  0.500
Sn  0.000  0.500  0.000
Sn  0.000  0.000  0.500
Sn  0.500  0.000  0.000
W  0.000  0.000  0.000



# 4
Tb4ErTm10 | PBE-GGA | optimized geometry

Computed properties:
Formation energy from the elements in eV/atom: 0.74
DOS(E_F) in states/eV per cell: 16.139
Calculated total energy in eV per atom: -3.779
Crystal system: tetragonal

Cell lengths 7.585, 9.304, 9.304 Å; angles 80.44, 65.94, 65.94 degrees
Element x y z (fractional)
Tb  0.399  0.802  0.400
Tb  0.799  0.600  0.802
Tb  0.201  0.400  0.198
Tb  0.601  0.198  0.600
Er  0.000  0.000  0.000
Tm  0.250  0.500  0.500
Tm  0.652  0.299  0.899
Tm  0.049  0.101  0.299
Tm  0.449  0.899  0.701
Tm  0.850  0.701  0.101
Tm  0.348  0.701  0.101
Tm  0.750  0.500  0.500
Tm  0.150  0.299  0.899
Tm  0.551  0.101  0.299
Tm  0.951  0.899  0.701



# 5
Li2NdSc3Te6 | PBE-GGA | optimized geometry

Computed properties:
Energy relative to the elements, uncorrected in eV per atom: -1.215
DOS(E_F) in states/eV per cell: 4.427
Calculated total energy in eV per atom: -5.085
Crystal system: monoclinic

Cell lengths 7.292, 7.292, 7.474 Å; angles 99.47, 99.47, 119.98 degrees
Element x y z (fractional)
Li  0.329  0.671  0.000
Li  0.671  0.329  0.000
Nd  0.000  0.000  0.000
Sc  0.160  0.840  0.500
Sc  0.840  0.160  0.500
Sc  0.500  0.500  0.500
Te  0.913  0.568  0.738
Te  0.738  0.738  0.256
Te  0.087  0.432  0.262
Te  0.568  0.913  0.738
Te  0.262  0.262  0.744
Te  0.432  0.087  0.262



# 6
CsLiCd4 | PBE-GGA | optimized geometry

Computed properties:
Formation energy from the elements in eV/atom: 0.00
DOS(E_F) in states/eV per cell: 3.997
Calculated total energy in eV per atom: -1.073
Crystal system: cubic

Cell lengths 6.312, 6.312, 6.312 Å; angles 60.00, 60.00, 60.00 degrees
Element x y z (fractional)
Cs  0.250  0.250  0.250
Li  0.000  0.000  0.000
Cd  0.627  0.627  0.118
Cd  0.627  0.118  0.627
Cd  0.627  0.627  0.627
Cd  0.118  0.627  0.627



# 7
TiAgW2N | PBE-GGA | optimized geometry

Computed properties:
Energy relative to the elements, uncorrected in eV per atom: 2.900
DOS(E_F) in states/eV per cell: 4.938
Calculated total energy in eV per atom: -6.096
Crystal system: tetragonal

Cell lengths 4.548, 4.855, 4.548 Å; angles 90.00, 90.00, 90.00 degrees
Element x y z (fractional)
N  0.500  0.500  0.500
Ag  0.000  0.500  0.000
W  0.000  0.000  0.500
W  0.500  0.000  0.000
Ti  0.000  0.000  0.000



# 8
Zr2CuHg | PBE-GGA | optimized geometry

Computed properties:
Formation energy from the elements in eV/atom: -0.05
DOS(E_F) in states/eV per cell: 3.948
Calculated total energy in eV per atom: -5.428
Crystal system: monoclinic

Cell lengths 5.797, 5.797, 5.035 Å; angles 63.46, 63.46, 31.97 degrees
Element x y z (fractional)
Cu  0.503  0.503  0.533
Hg  0.224  0.224  0.247
Zr  0.003  0.003  0.019
Zr  0.770  0.770  0.701



# 9
TlPt2Au | PBE-GGA | optimized geometry

Computed properties:
Formation energy from the elements in eV/atom: 0.07
DOS(E_F) in states/eV per cell: 1.756
Calculated total energy in eV per atom: -4.363
Crystal system: monoclinic

Cell lengths 4.568, 3.015, 5.575 Å; angles 74.36, 90.00, 90.00 degrees
Element x y z (fractional)
Au  0.500  0.779  0.823
Pt  0.000  0.214  0.953
Pt  0.500  0.041  0.284
Tl  0.000  0.465  0.439



# 10
Dy3YEr3 | PBE-GGA | optimized geometry

Computed properties:
Formation energy from the elements in eV/atom: 0.15
DOS(E_F) in states/eV per cell: 19.348
Calculated total energy in eV per atom: -4.706
Crystal system: trigonal

Cell lengths 6.130, 6.130, 14.562 Å; angles 77.85, 77.85, 60.00 degrees
Element x y z (fractional)
Dy  0.199  0.867  0.398
Dy  0.536  0.199  0.398
Dy  0.867  0.536  0.398
Dy  0.133  0.464  0.602
Dy  0.464  0.801  0.602
Dy  0.801  0.133  0.602
Y  0.667  0.667  0.000
Y  0.333  0.333  0.000
Er  0.933  0.267  0.200
Er  0.599  0.933  0.200
Er  0.267  0.599  0.200
Er  0.733  0.401  0.800
Er  0.401  0.067  0.800
Er  0.067  0.733  0.800



# 11
KAcAs2Pd5 | PBE-GGA | optimized geometry

Computed properties:
Formation energy from the elements in eV/atom: -0.61
DOS(E_F) in states/eV per cell: 4.042
Calculated total energy in eV per atom: -5.105
Crystal system: tetragonal

Cell lengths 4.387, 4.387, 10.295 Å; angles 90.00, 90.00, 90.00 degrees
Element x y z (fractional)
K  0.000  0.000  0.000
Ac  0.000  0.000  0.500
As  0.500  0.500  0.178
As  0.500  0.500  0.822
Pd  0.000  0.500  0.291
Pd  0.500  0.000  0.291
Pd  0.000  0.500  0.709
Pd  0.500  0.000  0.709
Pd  0.500  0.500  0.500



# 12
CaLaTc2 | PBE-GGA | optimized geometry

Computed properties:
Formation energy from the elements in eV/atom: 0.62
DOS(E_F) in states/eV per cell: 5.755
Calculated total energy in eV per atom: -6.295
Crystal system: tetragonal

Cell lengths 3.531, 3.531, 7.053 Å; angles 90.00, 90.00, 90.00 degrees
Each line ends with the local moment (μB).
Element x y z (fractional)
Ca  0.500  0.500  0.250  0.00
Tc  0.000  0.000  0.957  0.47
Tc  0.000  0.000  0.543  0.47
La  0.500  0.500  0.750  0.00



# 13
Ho8In2Sn | PBE-GGA | optimized geometry

Computed properties:
Formation energy from the elements in eV/atom: -0.26
DOS(E_F) in states/eV per cell: 11.282
Calculated total energy in eV per atom: -4.452
Crystal system: monoclinic

Cell lengths 5.130, 6.884, 9.748 Å; angles 102.06, 105.26, 90.00 degrees
Element x y z (fractional)
Ho  0.408  0.537  0.817
Ho  0.658  0.971  0.316
Ho  0.795  0.696  0.589
Ho  0.978  0.244  0.956
Ho  0.205  0.304  0.411
Ho  0.342  0.029  0.684
Ho  0.592  0.463  0.183
Ho  0.022  0.756  0.044
In  0.813  0.255  0.625
In  0.187  0.745  0.375
Sn  0.500  0.000  0.000



# 14
La2TbPb9 | PBE-GGA | optimized geometry

Computed properties:
Formation energy from the elements in eV/atom: -0.40
DOS(E_F) in states/eV per cell: 6.183
Calculated total energy in eV per atom: -4.386
Crystal system: tetragonal

Cell lengths 4.946, 4.946, 14.756 Å; angles 90.00, 90.00, 90.00 degrees
Element x y z (fractional)
La  0.000  0.000  0.332
La  0.000  0.000  0.668
Tb  0.000  0.000  0.000
Pb  0.500  0.500  0.000
Pb  0.500  0.500  0.331
Pb  0.500  0.500  0.669
Pb  0.500  0.000  0.162
Pb  0.500  0.000  0.500
Pb  0.500  0.000  0.838
Pb  0.000  0.500  0.162
Pb  0.000  0.500  0.500
Pb  0.000  0.500  0.838



# 15
HgSbTe2O | PBE-GGA | optimized geometry

Computed properties:
Energy relative to the elements, uncorrected in eV per atom: 0.182
DOS(E_F) in states/eV per cell: 4.084
Calculated total energy in eV per atom: -2.951
Crystal system: tetragonal

Cell lengths 4.893, 4.893, 4.981 Å; angles 90.00, 90.00, 90.00 degrees
Element x y z (fractional)
Sb  0.000  0.000  0.500
Te  0.000  0.500  0.000
Te  0.500  0.000  0.000
Hg  0.500  0.500  0.500
O  0.000  0.000  0.000



# 16
BaGaAu3 | PBE-GGA | optimized geometry

Computed properties:
Formation energy from the elements in eV/atom: -0.48
DOS(E_F) in states/eV per cell: 1.438
Calculated total energy in eV per atom: -3.439
Crystal system: cubic

Cell lengths 5.075, 5.075, 5.075 Å; angles 90.00, 90.00, 90.00 degrees
Element x y z (fractional)
Au  0.000  0.500  0.000
Au  0.000  0.000  0.500
Au  0.500  0.000  0.000
Ba  0.500  0.500  0.500
Ga  0.000  0.000  0.000



# 17
PmScPt | PBE-GGA | optimized geometry

Computed properties:
Formation energy from the elements in eV/atom: -0.69
DOS(E_F) in states/eV per cell: 2.976
Calculated total energy in eV per atom: -6.400
Crystal system: trigonal

Cell lengths 4.176, 4.517, 4.517 Å; angles 120.00, 90.00, 90.00 degrees
Element x y z (fractional)
Sc  0.209  0.333  0.667
Pt  0.092  0.000  0.000
Pm  0.699  0.667  0.333



# 18
AcErMgAl | PBE-GGA | optimized geometry

Computed properties:
Formation energy from the elements in eV/atom: -0.16
DOS(E_F) in states/eV per cell: 2.895
Calculated total energy in eV per atom: -3.666
Crystal system: cubic

Cell lengths 5.437, 5.437, 5.437 Å; angles 60.00, 60.00, 60.00 degrees
Element x y z (fractional)
Mg  0.250  0.250  0.250
Ac  0.500  0.500  0.500
Al  0.750  0.750  0.750
Er  0.000  0.000  0.000



# 19
Ho2ThNi | PBE-GGA | optimized geometry

Computed properties:
Formation energy from the elements in eV/atom: -0.23
DOS(E_F) in states/eV per cell: 21.193
Calculated total energy in eV per atom: -5.822
Crystal system: orthorhombic

Cell lengths 6.351, 6.844, 9.677 Å; angles 90.00, 90.00, 90.00 degrees
Element x y z (fractional)
Ho  0.169  0.679  0.067
Ho  0.331  0.179  0.433
Ho  0.831  0.321  0.567
Ho  0.669  0.821  0.933
Ho  0.831  0.321  0.933
Ho  0.669  0.821  0.567
Ho  0.169  0.679  0.433
Ho  0.331  0.179  0.067
Th  0.652  0.539  0.250
Th  0.848  0.039  0.250
Th  0.348  0.461  0.750
Th  0.152  0.961  0.750
Ni  0.056  0.379  0.250
Ni  0.444  0.879  0.250
Ni  0.944  0.621  0.750
Ni  0.556  0.121  0.750



# 20
PuTlPd | PBE-GGA | optimized geometry

Computed properties:
Formation energy from the elements in eV/atom: -0.19
DOS(E_F) in states/eV per cell: 12.110
Calculated total energy in eV per atom: -7.486
Crystal system: cubic

Cell lengths 4.810, 4.810, 4.810 Å; angles 60.00, 60.00, 60.00 degrees
Each line ends with the local moment (μB).
Element x y z (fractional)
Tl  0.500  0.500  0.500  0.05
Pd  0.250  0.250  0.250  -0.03
Pu  0.000  0.000  0.000  5.40